## MnBiAs2F (PBE with a Hubbard U)

Data for a relaxed MnBiAs2F crystal.

Cell lengths 4.4063, 4.4063, 5.5177 Å; angles 90.00, 90.00, 90.00 degrees
Space group P4/mmm (No. 123)
Inequivalent atoms, fractional coordinates:
Mn: 0.0000 0.0000 0.0000 [1 per cell]
Bi: 0.0000 0.0000 0.5000 [1 per cell]
As: 0.0000 0.5000 0.0000 [2 per cell]
F: 0.5000 0.5000 0.5000 [1 per cell]

Calculated values
Total DFT energy (no corrections) = -4.00 eV per atom